A plane-wave DFT calculation with PBE was carried out for crystalline Nd4Y3 at its relaxed geometry.

Cell and atoms, written as CIF:
```
data_Nd4Y3
_chemical_formula_sum 'Nd8 Y6'
_cell_length_a 17.145
_cell_length_b 3.526
_cell_length_c 8.914
_cell_angle_alpha 90.00
_cell_angle_beta 116.76
_cell_angle_gamma 90.00
_symmetry_space_group_name_H-M 'C 1 2/m 1'
_symmetry_Int_Tables_number 12
loop_
_symmetry_equiv_pos_as_xyz
'x,y,z'
'-x,-y,-z'
'-x,y,-z'
'x,-y,z'
'x+1/2,y+1/2,z'
'-x+1/2,-y+1/2,-z'
'-x+1/2,y+1/2,-z'
'x+1/2,-y+1/2,z'
loop_
_atom_site_label
_atom_site_fract_x
_atom_site_fract_y
_atom_site_fract_z
Nd1 0.078 0.000 0.205
Nd2 0.138 0.500 0.909
Y1 0.000 0.000 0.500
Y2 0.221 0.000 0.645
```

Properties
crystal system: monoclinic
energy: -0.3945 Ry per atom
formation energy from the elements: 0.127 eV/atom
total magnetization: 0.00 μB/cell
polymorph energy (0 for the lowest one): 0.023 eV/atom

***

A plane-wave DFT calculation with PBE was carried out for crystalline CaNiN3 at its relaxed geometry.

Cell and atoms, written as CIF:
```
data_CaNiN3
_chemical_formula_sum 'Ca1 Ni1 N3'
_cell_length_a 4.369
_cell_length_b 4.369
_cell_length_c 4.369
_cell_angle_alpha 90.00
_cell_angle_beta 90.00
_cell_angle_gamma 90.00
_symmetry_space_group_name_H-M 'P m -3 m'
_symmetry_Int_Tables_number 221
_symmetry_space_group_name_Hall '-P 4 2 3'
loop_
_atom_site_label
_atom_site_fract_x
_atom_site_fract_y
_atom_site_fract_z
Ca1 0.000 0.000 0.000
Ni1 0.500 0.500 0.500
N1 0.000 0.000 0.500
```

Properties
crystal system: cubic
energy: -0.2988 Ry per atom
uncorrected formation energy: 12.43 eV per formula unit
total magnetization: 7.00 μB/cell

***

A plane-wave DFT calculation with PBE was carried out for crystalline Zr2TlSn at its relaxed geometry.

Cell and atoms, written as CIF:
```
data_Zr2TlSn
_chemical_formula_sum 'Zr6 Tl3 Sn3'
_cell_length_a 3.9810
_cell_length_b 3.9810
_cell_length_c 22.1257
_cell_angle_alpha 90.00
_cell_angle_beta 90.00
_cell_angle_gamma 120.00
_symmetry_space_group_name_H-M 'R -3 m'
_symmetry_Int_Tables_number 166
_symmetry_space_group_name_Hall '-R 3 2"'
loop_
_atom_site_label
_atom_site_fract_x
_atom_site_fract_y
_atom_site_fract_z
Zr1 0.0000 0.0000 0.2463
Tl1 0.0000 0.0000 0.0000
Sn1 0.0000 0.0000 0.5000
```

Properties
crystal system: trigonal
energy: -0.4365 Ry per atom
formation energy from the elements: -0.073 eV/atom
total magnetization: 0.00 μB/cell

***

A plane-wave DFT calculation with PBE was carried out for crystalline CsPd2O3 at its relaxed geometry.

Cell and atoms, written as CIF:
```
data_CsPd2O3
_chemical_formula_sum 'Cs6 Pd12 O18'
_cell_length_a 6.2490
_cell_length_b 6.2490
_cell_length_c 19.6169
_cell_angle_alpha 90.00
_cell_angle_beta 90.00
_cell_angle_gamma 120.00
_symmetry_space_group_name_H-M 'R -3 m'
_symmetry_Int_Tables_number 166
_symmetry_space_group_name_Hall '-R 3 2"'
loop_
_atom_site_label
_atom_site_fract_x
_atom_site_fract_y
_atom_site_fract_z
Cs1 0.0000 0.0000 0.1800
Pd1 0.0000 0.0000 0.0000
Pd2 0.0000 0.5000 0.0000
O1 0.0024 0.5012 0.2819
```

Properties
crystal system: trigonal
energy: -0.3736 Ry per atom
uncorrected formation energy: -4.38 eV per formula unit
total magnetization: 0.00 μB/cell

***

A plane-wave DFT calculation with PBE was carried out for crystalline Hf3ZrAl at its relaxed geometry.

Cell and atoms, written as CIF:
```
data_Hf3ZrAl
_chemical_formula_sum 'Hf6 Zr2 Al2'
_cell_length_a 5.400
_cell_length_b 8.316
_cell_length_c 5.116
_cell_angle_alpha 90.00
_cell_angle_beta 104.85
_cell_angle_gamma 90.00
_symmetry_space_group_name_H-M 'P 1 2/c 1'
_symmetry_Int_Tables_number 13
loop_
_symmetry_equiv_pos_as_xyz
'x,y,z'
'-x,-y,-z'
'-x,y,-z+1/2'
'x,-y,z+1/2'
loop_
_atom_site_label
_atom_site_fract_x
_atom_site_fract_y
_atom_site_fract_z
Hf1 0.000 0.111 0.250
Hf2 0.224 0.404 0.624
Zr1 0.500 0.087 0.750
Al1 0.500 0.282 0.250
```

Properties
crystal system: monoclinic
energy: -0.6092 Ry per atom
formation energy from the elements: 0.141 eV/atom
total magnetization: 0.00 μB/cell
polymorph energy (0 for the lowest one): 0.000 eV/atom

***

A plane-wave DFT calculation with PBE was carried out for crystalline La4Nd3Sm at its relaxed geometry.

Cell and atoms, written as CIF:
```
data_La4Nd3Sm
_chemical_formula_sum 'La8 Nd6 Sm2'
_cell_length_a 25.813
_cell_length_b 3.548
_cell_length_c 6.339
_cell_angle_alpha 90.00
_cell_angle_beta 93.88
_cell_angle_gamma 90.00
_symmetry_space_group_name_H-M 'C 1 2/m 1'
_symmetry_Int_Tables_number 12
loop_
_symmetry_equiv_pos_as_xyz
'x,y,z'
'-x,-y,-z'
'-x,y,-z'
'x,-y,z'
'x+1/2,y+1/2,z'
'-x+1/2,-y+1/2,-z'
'-x+1/2,y+1/2,-z'
'x+1/2,-y+1/2,z'
loop_
_atom_site_label
_atom_site_fract_x
_atom_site_fract_y
_atom_site_fract_z
La1 0.106 0.000 0.234
La2 0.220 0.500 0.243
Nd1 0.000 0.000 0.500
Nd2 0.144 0.000 0.744
Sm1 0.000 0.500 0.000
```

Properties
crystal system: monoclinic
energy: -0.3417 Ry per atom
formation energy from the elements: 0.193 eV/atom
total magnetization: 0.00 μB/cell
polymorph energy (0 for the lowest one): 0.000 eV/atom

***

A plane-wave DFT calculation with PBE was carried out for crystalline LiHo3Th4S8 at its relaxed geometry.

Cell and atoms, written as CIF:
```
data_LiHo3Th4S8
_chemical_formula_sum 'Li3 Ho9 Th12 S24'
_cell_length_a 7.7179
_cell_length_b 7.7179
_cell_length_c 20.2842
_cell_angle_alpha 90.00
_cell_angle_beta 90.00
_cell_angle_gamma 120.00
_symmetry_space_group_name_H-M 'R -3 m'
_symmetry_Int_Tables_number 166
_symmetry_space_group_name_Hall '-R 3 2"'
loop_
_atom_site_label
_atom_site_fract_x
_atom_site_fract_y
_atom_site_fract_z
Li1 0.0000 0.0000 0.0000
Ho1 0.0000 0.5000 0.0000
Th1 0.0000 0.0000 0.5000
Th2 0.0000 0.5000 0.5000
S1 0.0000 0.0000 0.2559
S2 0.0071 0.5036 0.7422
```

Properties
crystal system: trigonal
energy: -0.4961 Ry per atom
uncorrected formation energy: -29.64 eV per formula unit
total magnetization: 0.00 μB/cell

***

A plane-wave DFT calculation with PBE was carried out for crystalline BaGaP2S at its relaxed geometry.

Cell and atoms, written as CIF:
```
data_BaGaP2S
_chemical_formula_sum 'Ba1 Ga1 P2 S1'
_cell_length_a 4.802
_cell_length_b 4.802
_cell_length_c 5.151
_cell_angle_alpha 90.00
_cell_angle_beta 90.00
_cell_angle_gamma 90.00
_symmetry_space_group_name_H-M 'P 4/m m m'
_symmetry_Int_Tables_number 123
_symmetry_space_group_name_Hall '-P 4 2'
loop_
_atom_site_label
_atom_site_fract_x
_atom_site_fract_y
_atom_site_fract_z
Ba1 0.000 0.000 0.000
Ga1 0.500 0.500 0.500
P1 0.000 0.500 0.500
S1 0.500 0.500 0.000
```

Properties
crystal system: tetragonal
energy: -0.3100 Ry per atom
uncorrected formation energy: -1.19 eV per formula unit
total magnetization: 0.00 μB/cell
polymorph energy (0 for the lowest one): 0.000 eV/atom

***

A plane-wave DFT calculation with PBE was carried out for crystalline ScWSe2 at its relaxed geometry.

Cell and atoms, written as CIF:
```
data_ScWSe2
_chemical_formula_sum 'Sc4 W4 Se8'
_cell_length_a 6.631
_cell_length_b 6.631
_cell_length_c 6.631
_cell_angle_alpha 90.00
_cell_angle_beta 90.00
_cell_angle_gamma 90.00
_symmetry_space_group_name_H-M 'F -4 3 m'
_symmetry_Int_Tables_number 216
_symmetry_space_group_name_Hall 'F -4 2 3'
loop_
_atom_site_label
_atom_site_fract_x
_atom_site_fract_y
_atom_site_fract_z
Sc1 0.000 0.000 0.000
W1 0.250 0.250 0.750
Se1 0.000 0.000 0.500
Se2 0.250 0.250 0.250
```

Properties
crystal system: cubic
energy: -0.4509 Ry per atom
uncorrected formation energy: 1.72 eV per formula unit
total magnetization: 0.00 μB/cell
polymorph energy (0 for the lowest one): 0.996 eV/atom

***

A plane-wave DFT calculation with PBE was carried out for crystalline Zr3BiH at its relaxed geometry.

Cell and atoms, written as CIF:
```
data_Zr3BiH
_chemical_formula_sum 'Zr12 Bi4 H4'
_cell_length_a 5.800
_cell_length_b 5.800
_cell_length_c 12.513
_cell_angle_alpha 90.00
_cell_angle_beta 90.00
_cell_angle_gamma 90.00
_symmetry_space_group_name_H-M 'I -4 m 2'
_symmetry_Int_Tables_number 119
_symmetry_space_group_name_Hall 'I -4 -2'
loop_
_atom_site_label
_atom_site_fract_x
_atom_site_fract_y
_atom_site_fract_z
Zr1 0.000 0.000 0.178
Zr2 0.000 0.261 0.625
Bi1 0.000 0.500 0.103
H1 0.000 0.000 0.500
H2 0.000 0.500 0.750
```

Properties
crystal system: tetragonal
energy: -0.4837 Ry per atom
total magnetization: 0.00 μB/cell
polymorph energy (0 for the lowest one): 0.337 eV/atom